## RbNbHg (PBE)

Data for a relaxed RbNbHg crystal.

Cell lengths 7.6158, 7.6158, 7.6158 Å; angles 90.00, 90.00, 90.00 degrees
With the nearest neighbours (Å) after each atom.
Space group F-43m (No. 216)
One atom of each set of equivalent atoms:
Rb 0.0000 0.0000 0.0000  4 Hg 3.30
Nb 0.0000 0.0000 0.5000  4 Hg 3.30
Hg 0.2500 0.2500 0.2500  4 Nb 3.30, 4 Rb 3.30

- Crystal system: cubic
- ΔE to the lowest computed polymorph: 1.0857 eV per atom
- Density of states at the Fermi level: 0.56 states/eV/f.u.
- Formation energy from the elements: 1.34 eV per atom

## RbNbHg (PBE)

Data for a relaxed RbNbHg crystal.

Cell lengths 3.6823, 4.3711, 13.2051 Å; angles 90.00, 90.82, 90.00 degrees
With the nearest neighbours (Å) after each atom.
Space group Pm (No. 6)
One atom of each set of equivalent atoms:
Rb 0.0000 0.0000 0.0000  2 Hg 3.60, 2 Rb 3.68
Rb 0.4547 0.5000 0.3292  1 Nb 3.45, 2 Rb 3.68
Nb 0.4788 0.5000 0.5906  2 Nb 2.66, 4 Hg 2.93
Nb 0.9863 0.5000 0.7361  2 Nb 2.66, 4 Hg 2.88
Hg 0.4878 0.0000 0.7658  6 Nb 2.88-3.18
Hg 0.9758 0.0000 0.5410  4 Nb 2.93

- Crystal system: monoclinic
- ΔE to the lowest computed polymorph: 0.1018 eV per atom
- Density of states at the Fermi level: 1.57 states/eV/f.u.
- Formation energy from the elements: 0.36 eV per atom

## RbNbHg2 (PBE)

Data for a relaxed RbNbHg2 crystal.

Cell lengths 5.8940, 5.8940, 19.2976 Å; angles 90.00, 90.00, 90.00 degrees
With the nearest neighbours (Å) after each atom.
Space group I-42d (No. 122)
One atom of each set of equivalent atoms:
Rb 0.0000 0.0000 0.0000  4 Hg 3.83, 4 Nb 4.17
Nb 0.0000 0.0000 0.5000  4 Hg 2.85
Hg 0.0605 0.2500 0.6250  2 Nb 2.85, 2 Hg 3.03

- Crystal system: tetragonal
- ΔE to the lowest computed polymorph: 0.0000 eV per atom
- Density of states at the Fermi level: 6.82 states/eV/f.u.
- Formation energy from the elements: 0.76 eV per atom

## RbNbHg (PBE)

Data for a relaxed RbNbHg crystal.

Cell lengths 5.3911, 3.4261, 10.4922 Å; angles 90.00, 103.90, 90.00 degrees
With the nearest neighbours (Å) after each atom.
Space group Pm (No. 6)
One atom of each set of equivalent atoms:
Rb 0.0000 0.0000 0.0000  4 Hg 3.37-3.38, 2 Rb 3.43
Rb 0.3659 0.0000 0.7138  2 Rb 3.43, 4 Nb 3.74, 2 Hg 3.78
Nb 0.6904 0.0000 0.3411  2 Nb 2.52
Nb 0.7765 0.5000 0.5232  2 Nb 2.52
Hg 0.2100 0.5000 0.3829  6 Nb 3.05-3.22
Hg 0.5493 0.5000 0.1073  2 Nb 2.94

- Crystal system: monoclinic
- ΔE to the lowest computed polymorph: 0.2582 eV per atom
- Density of states at the Fermi level: 3.01 states/eV/f.u.
- Formation energy from the elements: 0.51 eV per atom

## Rb2NbHg (PBE)

Data for a relaxed Rb2NbHg crystal.

Cell lengths 12.6827, 12.6827, 5.6226 Å; angles 90.00, 90.00, 90.00 degrees
With the nearest neighbours (Å) after each atom.
Space group I-42d (No. 122)
One atom of each set of equivalent atoms:
Rb 0.1060 0.2500 0.1250  2 Hg 3.51
Nb 0.0000 0.0000 0.5000  2 Hg 2.81
Hg 0.0000 0.0000 0.0000  2 Nb 2.81

- Crystal system: tetragonal
- Density of states at the Fermi level: 4.24 states/eV/f.u.
- Formation energy from the elements: 0.97 eV per atom

## RbNbHg (PBE)

Data for a relaxed RbNbHg crystal.

Cell lengths 13.8976, 5.3433, 5.3496 Å; angles 90.00, 90.00, 90.00 degrees
With the nearest neighbours (Å) after each atom.
Space group Pnma (No. 62)
One atom of each set of equivalent atoms:
Rb 0.2361 0.2500 0.0097  2 Hg 3.54, 1 Nb 3.71, 4 Rb 3.80
Nb 0.0032 0.2500 0.5002  2 Nb 2.67, 4 Hg 2.99
Hg 0.0000 0.0000 0.0000  2 Hg 2.67, 4 Nb 2.99

- Crystal system: orthorhombic
- ΔE to the lowest computed polymorph: 0.3658 eV per atom
- Density of states at the Fermi level: 1.87 states/eV/f.u.
- Formation energy from the elements: 0.62 eV per atom

## RbNbHg (PBE)

Data for a relaxed RbNbHg crystal.

Cell lengths 5.5199, 5.5199, 8.1418 Å; angles 90.00, 90.00, 120.00 degrees
With the nearest neighbours (Å) after each atom.
Space group P-6m2 (No. 187)
One atom of each set of equivalent atoms:
Rb 0.0000 0.0000 0.0000  6 Nb 3.37, 6 Hg 3.54
Rb 0.0000 0.0000 0.5000  6 Hg 4.07, 2 Rb 4.07, 6 Nb 4.36
Nb 0.3333 0.6667 0.1351  1 Nb 2.20
Hg 0.6667 0.3333 0.1892  1 Hg 3.08, 3 Nb 3.22

- Crystal system: hexagonal
- ΔE to the lowest computed polymorph: 0.5845 eV per atom
- Density of states at the Fermi level: 2.47 states/eV/f.u.
- Formation energy from the elements: 0.84 eV per atom

## RbNbHg (PBE)

Data for a relaxed RbNbHg crystal.

Cell lengths 4.6667, 4.6667, 11.9694 Å; angles 90.00, 90.00, 120.00 degrees
With the nearest neighbours (Å) after each atom.
Space group P6_3/mmc (No. 194)
One atom of each set of equivalent atoms:
Rb 0.0000 0.0000 0.0000  6 Hg 4.03, 6 Nb 4.03
Nb 0.3333 0.6667 0.2500  3 Hg 2.69
Hg 0.3333 0.6667 0.7500  3 Nb 2.69

- Crystal system: hexagonal
- ΔE to the lowest computed polymorph: 0.8243 eV per atom
- Density of states at the Fermi level: 4.00 states/eV/f.u.
- Formation energy from the elements: 1.08 eV per atom

## RbNbHg (PBE)

Data for a relaxed RbNbHg crystal.

Cell lengths 6.0820, 6.0820, 11.3154 Å; angles 90.00, 90.00, 120.00 degrees
With the nearest neighbours (Å) after each atom.
Space group P6_3/mmc (No. 194)
One atom of each set of equivalent atoms:
Rb 0.3333 0.6667 0.2500  3 Hg 3.51
Nb 0.0000 0.0000 0.0000  2 Hg 2.83
Hg 0.0000 0.0000 0.2500  2 Nb 2.83

- Crystal system: hexagonal
- ΔE to the lowest computed polymorph: 1.2646 eV per atom
- Density of states at the Fermi level: 5.63 states/eV/f.u.
- Formation energy from the elements: 1.52 eV per atom

## RbNbHg2Ru (PBE)

Data for a relaxed RbNbHg2Ru crystal.

Cell lengths 5.7172, 5.7172, 4.9124 Å; angles 90.00, 90.00, 90.00 degrees
With the nearest neighbours (Å) after each atom.
Space group P4/mmm (No. 123)
One atom of each set of equivalent atoms:
Rb 0.0000 0.0000 0.0000  2 Ru 2.46
Nb 0.5000 0.5000 0.5000  8 Hg 3.77, 4 Ru 4.04
Hg 0.0000 0.5000 0.0000  2 Rb 2.86
Ru 0.0000 0.0000 0.5000  2 Rb 2.46

- Crystal system: tetragonal
- Density of states at the Fermi level: 6.75 states/eV/f.u.
- Formation energy from the elements: 2.22 eV per atom

## RbNbHgSe2 (PBE)

Data for a relaxed RbNbHgSe2 crystal.

Cell lengths 5.8701, 5.8701, 5.6663 Å; angles 90.00, 90.00, 90.00 degrees
With the nearest neighbours (Å) after each atom.
Space group P4/mmm (No. 123)
One atom of each set of equivalent atoms:
Rb 0.0000 0.0000 0.0000  2 Hg 2.83, 4 Se 2.94
Nb 0.5000 0.5000 0.5000  8 Se 4.08, 4 Hg 4.15
Hg 0.0000 0.0000 0.5000  2 Rb 2.83
Se 0.0000 0.5000 0.0000  2 Rb 2.94

- Crystal system: tetragonal
- Density of states at the Fermi level: 9.30 states/eV/f.u.
- Energy relative to the elements, uncorrected: 1.560 eV per atom

## RbNbSi2Hg (PBE)

Data for a relaxed RbNbSi2Hg crystal.

Cell lengths 5.1772, 5.1772, 5.4777 Å; angles 90.00, 90.00, 90.00 degrees
With the nearest neighbours (Å) after each atom.
Space group P4/mmm (No. 123)
One atom of each set of equivalent atoms:
Rb 0.0000 0.0000 0.0000  4 Si 2.59, 2 Hg 2.74
Nb 0.5000 0.5000 0.5000  4 Hg 3.66, 8 Si 3.77
Si 0.0000 0.5000 0.0000  2 Rb 2.59
Hg 0.0000 0.0000 0.5000  2 Rb 2.74

- Crystal system: tetragonal
- Density of states at the Fermi level: 7.13 states/eV/f.u.
- Energy relative to the elements, uncorrected: 2.424 eV per atom